YCdCo2O PBE with a Hubbard U optimized geometry; mass density = 4.41 g/cm3; SG = P4/mmm (123); DFT total energy = -3.4314 eV/atom; spin magnetization = 0.825 μB/atom
1.0
4.669 0.000 0.000
0.000 4.669 0.000
0.000 0.000 5.794
Y Cd Co O
1 1 2 1
Direct
0.000 0.000 0.000 Y
0.000 0.000 0.500 Cd
0.000 0.500 0.500 Co
0.500 0.000 0.500 Co
0.500 0.500 0.000 O